[1]
{"formula": "Ta2BeTc", "functional": "PBE-GGA", "state": "relaxed", "cell": [[1.6861, -2.2329, 0.0000], [1.6861, 2.2329, 0.0000], [0.0000, 0.0000, 7.9804]], "species": ["Ta", "Ta", "Be", "Tc"], "frac_coords": [[0.0000, 0.0000, 0.0000], [0.5000, 0.5000, 0.2960], [0.0000, 0.0000, 0.5282], [0.5000, 0.5000, 0.7291]], "ef_kj_per_mol_fu": 6, "n_ef_per_ev_atom": 0.843, "total_magnetization_mub_per_cell": 0.00, "crystal_system": "orthorhombic", "final_energy_ev_per_atom": -9.4346, "vol_a3_per_atom": 15.02}

=====

[2]
{"formula": "Ta4BeTc", "functional": "PBE-GGA", "state": "relaxed", "cell": [[0.0000, 3.7676, 3.7676], [3.7676, 0.0000, 3.7676], [3.7676, 3.7676, 0.0000]], "species": ["Ta", "Ta", "Ta", "Ta", "Be", "Tc"], "frac_coords": [[0.1244, 0.1244, 0.1244], [0.1244, 0.1244, 0.6268], [0.1244, 0.6268, 0.1244], [0.6268, 0.1244, 0.1244], [0.5000, 0.5000, 0.5000], [0.7500, 0.7500, 0.7500]], "ef_kj_per_mol_fu": 381, "n_ef_per_ev_atom": 1.376, "total_magnetization_mub_per_cell": 0.00, "crystal_system": "cubic", "final_energy_ev_per_atom": -9.5925, "vol_a3_per_atom": 17.83}

=====

[3]
{"formula": "TaBeTc2", "functional": "PBE-GGA", "state": "relaxed", "cell": [[3.1552, 0.0000, 0.0000], [0.0000, 3.1552, 0.0000], [0.0000, 0.0000, 5.6764]], "species": ["Ta", "Be", "Tc", "Tc"], "frac_coords": [[0.0000, 0.0000, 0.0000], [0.0000, 0.0000, 0.5000], [0.5000, 0.5000, 0.2805], [0.5000, 0.5000, 0.7195]], "ef_kj_per_mol_fu": -67, "n_ef_per_ev_atom": 1.189, "total_magnetization_mub_per_cell": 0.00, "crystal_system": "tetragonal", "final_energy_ev_per_atom": -9.2502, "vol_a3_per_atom": 14.13}

=====

[4]
{"formula": "TaBeTc4", "functional": "PBE-GGA", "state": "relaxed", "cell": [[0.0000, 3.5987, 3.5987], [3.5987, 0.0000, 3.5987], [3.5987, 3.5987, 0.0000]], "species": ["Ta", "Be", "Tc", "Tc", "Tc", "Tc"], "frac_coords": [[0.0000, 0.0000, 0.0000], [0.2500, 0.2500, 0.2500], [0.1273, 0.6242, 0.6242], [0.6242, 0.1273, 0.6242], [0.6242, 0.6242, 0.1273], [0.6242, 0.6242, 0.6242]], "ef_kj_per_mol_fu": 128, "n_ef_per_ev_atom": 0.906, "total_magnetization_mub_per_cell": 0.00, "crystal_system": "cubic", "final_energy_ev_per_atom": -9.2859, "vol_a3_per_atom": 15.54}

=====

[5]
{"formula": "TaTiBeTc", "functional": "PBE-GGA", "state": "relaxed", "cell": [[0.0000, 3.0904, 3.0904], [3.0904, 0.0000, 3.0904], [3.0904, 3.0904, 0.0000]], "species": ["Ta", "Ti", "Be", "Tc"], "frac_coords": [[0.0000, 0.0000, 0.0000], [0.5000, 0.5000, 0.5000], [0.7500, 0.7500, 0.7500], [0.2500, 0.2500, 0.2500]], "ef_kj_per_mol_fu": -74, "n_ef_per_ev_atom": 0.389, "total_magnetization_mub_per_cell": 0.00, "crystal_system": "cubic", "final_energy_ev_per_atom": -8.6517, "vol_a3_per_atom": 14.76}

=====

[6]
{"formula": "TaBeZn2Tc", "functional": "PBE-GGA", "state": "relaxed", "cell": [[4.9695, 0.0000, 0.0000], [0.0000, 4.9695, 0.0000], [0.0000, 0.0000, 4.6787]], "species": ["Ta", "Be", "Zn", "Zn", "Tc"], "frac_coords": [[0.0000, 0.0000, 0.0000], [0.5000, 0.5000, 0.5000], [0.0000, 0.5000, 0.0000], [0.5000, 0.0000, 0.0000], [0.0000, 0.0000, 0.5000]], "ef_kj_per_mol_fu": 823, "n_ef_per_ev_atom": 0.836, "total_magnetization_mub_per_cell": 1.00, "crystal_system": "tetragonal", "final_energy_ev_per_atom": -3.9918, "vol_a3_per_atom": 23.11}